1.
Computed, not measured: a relaxed structure of BaNaBO2 at the PBE level of DFT.

space-group type = P4/mmm
DOS(E_F) = 5.026 states/eV per cell

POSCAR file:
```
BaNaBO2
1.0
-4.253 -0.099 1.701
2.190 -4.818 5.194
1.036 3.482 2.792
Na B Ba O
1 1 1 2
Direct
0.000 0.500 0.000 Na
0.500 0.500 0.500 B
0.000 0.000 0.000 Ba
0.000 0.000 0.500 O
0.500 0.000 0.000 O
```

2.
Computed, not measured: a relaxed structure of Ba4NaB3O9 at the PBE level of DFT.

space-group type = Ia-3d
DOS(E_F) = 0.000 states/eV per cell

POSCAR file:
```
Ba4NaB3O9
1.0
13.885 0.000 0.000
-4.628 13.091 0.000
-4.628 -6.546 11.337
Ba Na B O
32 8 24 72
Direct
0.001 0.751 0.250 Ba
0.751 0.001 0.750 Ba
0.751 0.250 0.001 Ba
0.750 0.499 0.749 Ba
0.749 0.750 0.499 Ba
0.250 0.001 0.751 Ba
0.750 0.751 0.001 Ba
0.250 0.749 0.499 Ba
0.499 0.250 0.749 Ba
0.001 0.750 0.751 Ba
0.749 0.499 0.250 Ba
0.499 0.749 0.750 Ba
0.999 0.249 0.750 Ba
0.249 0.999 0.250 Ba
0.249 0.750 0.999 Ba
0.250 0.501 0.251 Ba
0.251 0.250 0.501 Ba
0.750 0.999 0.249 Ba
0.250 0.249 0.999 Ba
0.750 0.251 0.501 Ba
0.501 0.750 0.251 Ba
0.999 0.250 0.249 Ba
0.251 0.501 0.750 Ba
0.501 0.251 0.250 Ba
0.500 0.000 0.500 Ba
0.000 0.500 0.000 Ba
0.500 0.500 0.500 Ba
0.000 0.000 0.500 Ba
0.000 0.000 0.000 Ba
0.000 0.500 0.500 Ba
0.500 0.500 0.000 Ba
0.500 0.000 0.000 Ba
0.500 0.000 0.250 Na
0.250 0.500 0.000 Na
0.000 0.250 0.500 Na
0.250 0.250 0.250 Na
0.500 0.000 0.750 Na
0.750 0.500 0.000 Na
0.000 0.750 0.500 Na
0.750 0.750 0.750 Na
0.734 0.984 0.967 B
0.484 0.234 0.467 B
0.016 0.484 0.750 B
0.234 0.266 0.750 B
0.234 0.467 0.484 B
0.266 0.750 0.234 B
0.750 0.016 0.484 B
0.467 0.484 0.234 B
0.750 0.234 0.266 B
0.516 0.250 0.984 B
0.967 0.734 0.984 B
0.984 0.967 0.734 B
0.250 0.766 0.734 B
0.533 0.516 0.766 B
0.250 0.984 0.516 B
0.734 0.250 0.766 B
0.766 0.533 0.516 B
0.766 0.734 0.250 B
0.984 0.516 0.250 B
0.516 0.766 0.533 B
0.266 0.016 0.033 B
0.484 0.750 0.016 B
0.033 0.266 0.016 B
0.016 0.033 0.266 B
0.356 0.001 0.599 O
0.794 0.250 0.706 O
0.250 0.044 0.456 O
0.411 0.456 0.706 O
0.250 0.706 0.794 O
0.044 0.089 0.794 O
0.089 0.794 0.044 O
0.794 0.044 0.089 O
0.501 0.145 0.402 O
0.099 0.501 0.856 O
0.145 0.243 0.644 O
0.257 0.402 0.401 O
0.243 0.644 0.145 O
0.856 0.099 0.501 O
0.402 0.401 0.257 O
0.856 0.257 0.355 O
0.099 0.098 0.243 O
0.098 0.243 0.099 O
0.401 0.644 0.999 O
0.402 0.501 0.145 O
0.145 0.402 0.501 O
0.355 0.856 0.257 O
0.644 0.999 0.401 O
0.243 0.099 0.098 O
0.355 0.999 0.098 O
0.999 0.401 0.644 O
0.501 0.856 0.099 O
0.257 0.355 0.856 O
0.644 0.145 0.243 O
0.401 0.257 0.402 O
0.999 0.098 0.355 O
0.098 0.355 0.999 O
0.499 0.855 0.598 O
0.901 0.499 0.144 O
0.855 0.757 0.356 O
0.743 0.598 0.599 O
0.757 0.356 0.855 O
0.144 0.901 0.499 O
0.598 0.599 0.743 O
0.144 0.743 0.645 O
0.901 0.902 0.757 O
0.902 0.757 0.901 O
0.599 0.356 0.001 O
0.598 0.499 0.855 O
0.855 0.598 0.499 O
0.645 0.144 0.743 O
0.456 0.250 0.044 O
0.757 0.901 0.902 O
0.645 0.001 0.902 O
0.001 0.599 0.356 O
0.499 0.144 0.901 O
0.743 0.645 0.144 O
0.706 0.411 0.456 O
0.599 0.743 0.598 O
0.001 0.902 0.645 O
0.902 0.645 0.001 O
0.544 0.294 0.589 O
0.956 0.544 0.750 O
0.294 0.206 0.750 O
0.294 0.589 0.544 O
0.206 0.750 0.294 O
0.750 0.956 0.544 O
0.589 0.544 0.294 O
0.750 0.294 0.206 O
0.956 0.911 0.206 O
0.911 0.206 0.956 O
0.544 0.750 0.956 O
0.206 0.956 0.911 O
0.456 0.706 0.411 O
0.044 0.456 0.250 O
0.706 0.794 0.250 O
0.356 0.855 0.757 O
```

3.
Computed, not measured: a relaxed structure of BaNaBO3 at the PBE level of DFT.

space-group type = C2/m
energy above the lowest structure with this stoichiometry = 0.0000 eV per atom
DOS(E_F) = 0.000 states/eV per cell

POSCAR file:
```
BaNaBO3
1.0
-1.194 4.426 3.226
-0.886 -0.721 5.488
5.825 1.215 1.970
Ba Na B O
2 2 2 6
Direct
0.832 0.832 0.242 Ba
0.168 0.168 0.758 Ba
0.500 0.500 0.500 Na
0.500 0.500 0.000 Na
0.834 0.834 0.751 B
0.166 0.166 0.249 B
0.315 0.888 0.210 O
0.112 0.685 0.790 O
0.685 0.112 0.790 O
0.888 0.315 0.210 O
0.705 0.705 0.678 O
0.295 0.295 0.322 O
```

4.
Computed, not measured: a relaxed structure of BaNaBO3 at the PBE level of DFT.

space-group type = P6_3/mmc
energy above the lowest structure with this stoichiometry = 0.0217 eV per atom
DOS(E_F) = 0.000 states/eV per cell

POSCAR file:
```
BaNaBO3
1.0
5.657 0.000 0.000
-2.829 4.899 0.000
0.000 0.000 6.082
Ba Na B O
2 2 2 6
Direct
0.667 0.333 0.250 Ba
0.333 0.667 0.750 Ba
0.000 0.000 0.500 Na
0.000 0.000 0.000 Na
0.333 0.667 0.250 B
0.667 0.333 0.750 B
0.809 0.191 0.750 O
0.191 0.383 0.250 O
0.383 0.191 0.750 O
0.617 0.809 0.250 O
0.809 0.617 0.750 O
0.191 0.809 0.250 O
```

5.
Computed, not measured: a relaxed structure of BaNaB5O9 at the PBE level of DFT.

space-group type = P2_1/c
DOS(E_F) = 0.000 states/eV per cell

POSCAR file:
```
BaNaB5O9
1.0
6.665 -0.013 0.000
-2.244 8.273 0.000
0.000 0.000 14.294
Ba Na B O
4 4 20 36
Direct
0.585 0.548 0.779 Ba
0.415 0.952 0.279 Ba
0.415 0.452 0.221 Ba
0.585 0.048 0.721 Ba
0.041 0.853 0.922 Na
0.959 0.647 0.422 Na
0.959 0.147 0.078 Na
0.041 0.353 0.578 Na
0.073 0.602 0.746 B
0.927 0.898 0.246 B
0.927 0.398 0.254 B
0.073 0.102 0.754 B
0.307 0.751 0.058 B
0.693 0.749 0.558 B
0.693 0.249 0.942 B
0.307 0.251 0.442 B
0.963 0.657 0.153 B
0.037 0.843 0.653 B
0.037 0.343 0.847 B
0.963 0.157 0.347 B
0.318 0.211 0.887 B
0.682 0.289 0.387 B
0.682 0.789 0.113 B
0.318 0.711 0.613 B
0.595 0.839 0.945 B
0.405 0.661 0.445 B
0.405 0.161 0.055 B
0.595 0.339 0.555 B
0.659 0.354 0.644 O
0.341 0.146 0.144 O
0.341 0.646 0.356 O
0.659 0.854 0.856 O
0.999 0.499 0.819 O
0.001 0.001 0.319 O
0.001 0.501 0.181 O
0.999 0.999 0.681 O
0.981 0.727 0.735 O
0.019 0.773 0.235 O
0.019 0.273 0.265 O
0.981 0.227 0.765 O
0.253 0.357 0.872 O
0.747 0.143 0.372 O
0.747 0.643 0.128 O
0.253 0.857 0.628 O
0.379 0.793 0.967 O
0.621 0.707 0.467 O
0.621 0.207 0.033 O
0.379 0.293 0.533 O
0.736 0.861 0.020 O
0.264 0.639 0.520 O
0.264 0.139 0.980 O
0.736 0.361 0.480 O
0.227 0.082 0.815 O
0.773 0.418 0.315 O
0.773 0.918 0.185 O
0.227 0.582 0.685 O
0.099 0.721 0.072 O
0.901 0.779 0.572 O
0.901 0.279 0.928 O
0.099 0.221 0.428 O
0.448 0.747 0.128 O
0.552 0.753 0.628 O
0.552 0.253 0.872 O
0.448 0.247 0.372 O
```

6.
Computed, not measured: a relaxed structure of BaNaB9O15 at the PBE level of DFT.

space-group type = R3c
DOS(E_F) = 0.000 states/eV per cell

POSCAR file:
```
BaNaB9O15
1.0
-3.086 5.124 -6.421
-2.851 -6.141 -5.582
-8.537 -0.027 2.029
Ba Na B O
2 2 18 30
Direct
0.505 0.505 0.505 Ba
0.005 0.005 0.005 Ba
0.278 0.278 0.278 Na
0.778 0.778 0.778 Na
0.716 0.283 0.161 B
0.283 0.161 0.716 B
0.161 0.716 0.283 B
0.216 0.661 0.783 B
0.727 0.382 0.876 B
0.382 0.876 0.727 B
0.876 0.727 0.382 B
0.227 0.376 0.882 B
0.376 0.882 0.227 B
0.882 0.227 0.376 B
0.707 0.564 0.060 B
0.564 0.060 0.707 B
0.060 0.707 0.564 B
0.207 0.560 0.064 B
0.560 0.064 0.207 B
0.064 0.207 0.560 B
0.661 0.783 0.216 B
0.783 0.216 0.661 B
0.731 0.709 0.359 O
0.231 0.859 0.209 O
0.209 0.231 0.859 O
0.859 0.209 0.231 O
0.761 0.258 0.493 O
0.359 0.731 0.709 O
0.258 0.493 0.761 O
0.993 0.758 0.261 O
0.261 0.993 0.758 O
0.758 0.261 0.993 O
0.713 0.074 0.726 O
0.726 0.713 0.074 O
0.074 0.726 0.713 O
0.226 0.574 0.213 O
0.213 0.226 0.574 O
0.574 0.213 0.226 O
0.682 0.449 0.184 O
0.449 0.184 0.682 O
0.184 0.682 0.449 O
0.182 0.684 0.949 O
0.684 0.949 0.182 O
0.949 0.182 0.684 O
0.714 0.535 0.906 O
0.535 0.906 0.714 O
0.906 0.714 0.535 O
0.214 0.406 0.035 O
0.406 0.035 0.214 O
0.035 0.214 0.406 O
0.493 0.761 0.258 O
0.709 0.359 0.731 O
```

7.
Computed, not measured: a relaxed structure of BaNa4Ti2Si10B2O30 at the PBE level of DFT.

space-group type = P-1
DOS(E_F) = 0.000 states/eV per cell

POSCAR file:
```
BaNa4Ti2Si10B2O30
1.0
7.290 0.001 -0.018
-0.243 9.859 0.013
-0.302 -4.890 8.562
Ba Na Ti Si B O
1 4 2 10 2 30
Direct
0.000 0.000 0.000 Ba
0.514 0.270 0.715 Na
0.486 0.730 0.285 Na
0.506 0.701 0.700 Na
0.494 0.299 0.300 Na
0.503 0.916 0.087 Ti
0.497 0.084 0.913 Ti
0.808 0.621 0.925 Si
0.811 0.935 0.627 Si
0.192 0.379 0.075 Si
0.189 0.065 0.373 Si
0.233 0.591 0.926 Si
0.235 0.909 0.581 Si
0.767 0.409 0.074 Si
0.765 0.091 0.419 Si
0.802 0.587 0.425 Si
0.198 0.413 0.575 Si
0.788 0.423 0.594 B
0.212 0.577 0.406 B
0.784 0.566 0.056 O
0.784 0.066 0.573 O
0.216 0.434 0.944 O
0.216 0.934 0.427 O
0.983 0.413 0.588 O
0.017 0.587 0.412 O
0.732 0.477 0.755 O
0.732 0.765 0.480 O
0.268 0.523 0.245 O
0.268 0.235 0.520 O
0.031 0.665 0.931 O
0.034 0.927 0.661 O
0.969 0.335 0.069 O
0.966 0.073 0.339 O
0.693 0.268 0.487 O
0.695 0.474 0.253 O
0.307 0.732 0.513 O
0.305 0.526 0.747 O
0.722 0.535 0.545 O
0.278 0.465 0.455 O
0.373 0.909 0.909 O
0.627 0.091 0.091 O
0.709 0.782 0.968 O
0.715 0.969 0.785 O
0.291 0.218 0.032 O
0.285 0.031 0.215 O
0.378 0.718 0.053 O
0.380 0.039 0.710 O
0.622 0.282 0.947 O
0.620 0.961 0.290 O
```

8.
Computed, not measured: a relaxed structure of Ba2NaB2S6 at the PBE level of DFT.

space-group type = C2/m
DOS(E_F) = 4.656 states/eV per cell

POSCAR file:
```
Ba2NaB2S6
1.0
6.243 0.000 0.000
-3.121 5.959 -0.288
0.000 -3.759 7.477
Ba Na B S
2 1 2 6
Direct
0.706 0.412 0.215 Ba
0.294 0.588 0.785 Ba
0.500 0.000 0.500 Na
0.954 0.908 0.753 B
0.046 0.092 0.247 B
0.782 0.564 0.654 S
0.189 0.894 0.192 S
0.295 0.106 0.808 S
0.811 0.106 0.808 S
0.705 0.894 0.192 S
0.218 0.436 0.346 S
```

Number 1: uncorrected energy -3.39 eV/atom, magnetic moment 0.254 μB per atom. Number 2: uncorrected energy -7.02 eV/atom, magnetic moment 0.000 μB per atom. Number 3: uncorrected energy -6.64 eV/atom, magnetic moment 0.000 μB per atom. Number 4: uncorrected energy -6.62 eV/atom, magnetic moment 0.000 μB per atom. Number 5: uncorrected energy -7.62 eV/atom, magnetic moment 0.005 μB per atom. Number 6: uncorrected energy -7.83 eV/atom, magnetic moment 0.000 μB per atom. Number 7: uncorrected energy -7.62 eV/atom, magnetic moment 0.000 μB per atom. Number 8: uncorrected energy -5.07 eV/atom, magnetic moment 0.000 μB per atom.